Below is a geometry-optimized YLuNO structure, with properties calculated at the GGA-PBE level.

Structure (POSCAR):
```
YLuNO
1.0
4.319 0.000 0.000
0.000 4.319 0.000
0.000 0.000 7.976
Y Lu N O
2 2 2 2
Direct
0.250 0.250 0.099
0.750 0.750 0.901
0.250 0.750 0.500
0.750 0.250 0.500
0.250 0.250 0.569
0.750 0.750 0.431
0.250 0.750 0.000
0.750 0.250 0.000
```

Properties
Energy above the lowest structure with this stoichiometry (meV/atom): 433